Material: KNp2AlO8
Method: DFT, PBE
State: optimized geometry

Properties
DFT total energy: -100.967 eV for the cell shown
magnetization: 2.00 μB per formula unit
crystal system: monoclinic

Lattice parameters (Å, degrees): 4.8823 4.8826 7.0887 88.20 88.19 84.86
Site moments in Bohr magnetons follow the coordinates.
Positions (direct):
O 0.3040 0.3041 0.9892  -0.05
O 0.8011 0.2036 0.8067  -0.05
O 0.3391 0.3394 0.4530  -0.06
O 0.1989 0.7964 0.1933  -0.05
O 0.6609 0.6606 0.5470  -0.06
O 0.6960 0.6959 0.0108  -0.05
O 0.7963 0.1988 0.1934  -0.05
O 0.2037 0.8012 0.8066  -0.05
Np 0.5136 0.5136 0.2363  1.22
Np 0.4864 0.4864 0.7637  1.22
Al 0.0000 0.0000 0.0000  0.00
K 0.0000 0.0000 0.5000  0.00